No. 1
12
Lattice="5.617 0.000 0.000 -2.809 4.865 0.000 0.000 0.000 9.173" Properties=species:S:1:pos:R:3 comment="SrHo3Al8 | Alexandria via LeMat-Bulk | GGA-PBE | relaxed" space_group="No. 156" dos_at_fermi_per_ev_cell=5.8 total_energy_ev_per_cell=-50.32 delta_e_f_ev_per_atom=-0.41 magmom_total_mub_per_cell=0.0 polymorph_energy_mev_per_atom=7 pbc="T T T"
Sr 0.000 0.000 0.000
Ho 0.000 0.000 3.368
Ho 2.809 1.622 4.600
Ho 2.809 1.622 7.937
Al 0.000 1.581 6.207
Al -1.439 4.074 6.207
Al 0.000 3.243 3.984
Al 0.000 3.243 8.556
Al 2.809 0.049 1.755
Al 1.447 2.408 1.755
Al 1.439 4.074 6.207
Al 4.170 2.408 1.755



No. 2
12
Lattice="3.627 0.000 0.000 -1.814 3.141 0.000 0.000 0.000 34.569" Properties=species:S:1:pos:R:3 comment="SrHo2Al | Alexandria via LeMat-Bulk | GGA-PBE | relaxed" space_group="No. 166" dos_at_fermi_per_ev_cell=12.0 total_energy_ev_per_cell=-42.12 delta_e_f_ev_per_atom=0.14 magmom_total_mub_per_cell=0.0 polymorph_energy_mev_per_atom=224 pbc="T T T"
Sr 0.000 0.000 0.000
Sr 0.000 2.094 23.046
Sr 1.814 1.047 11.523
Ho 0.000 0.000 3.588
Ho 0.000 0.000 30.981
Ho 0.000 2.094 19.458
Ho 0.000 2.094 26.635
Ho 1.814 1.047 7.935
Ho 1.814 1.047 15.112
Al 0.000 0.000 17.285
Al 0.000 2.094 5.762
Al 1.814 1.047 28.808



No. 3
4
Lattice="3.647 0.000 0.000 0.000 3.647 0.000 0.000 0.000 9.550" Properties=species:S:1:pos:R:3 comment="SrHo2Al | Alexandria via LeMat-Bulk | GGA-PBE | relaxed" space_group="No. 123" dos_at_fermi_per_ev_cell=3.5 total_energy_ev_per_cell=-14.94 delta_e_f_ev_per_atom=-0.09 magmom_total_mub_per_cell=0.0 polymorph_energy_mev_per_atom=0 pbc="T T T"
Sr 0.000 0.000 0.000
Ho 1.824 1.824 3.033
Ho 1.824 1.824 6.517
Al 0.000 0.000 4.775



No. 4
12
Lattice="2.802 1.618 9.201 -2.802 1.618 9.201 0.000 -3.236 9.201" Properties=species:S:1:pos:R:3 comment="SrHo3Al8 | Alexandria via LeMat-Bulk | GGA-PBE | relaxed" space_group="No. 160" dos_at_fermi_per_ev_cell=8.6 total_energy_ev_per_cell=-50.40 delta_e_f_ev_per_atom=-0.42 magmom_total_mub_per_cell=0.0 polymorph_energy_mev_per_atom=0 pbc="T T T"
Sr 0.000 0.000 0.000
Ho 0.000 0.000 10.369
Ho 0.000 0.000 13.791
Ho 0.000 0.000 24.151
Al 0.000 0.000 5.177
Al 0.000 -1.609 16.607
Al -1.394 0.805 16.607
Al -1.391 -0.803 21.338
Al 0.000 0.000 18.983
Al 1.394 0.805 16.607
Al 1.390 -0.803 21.338
Al 0.000 1.606 21.338



No. 5
12
Lattice="2.881 1.663 9.455 -2.881 1.663 9.455 0.000 -3.326 9.455" Properties=species:S:1:pos:R:3 comment="Sr3HoAl8 | Alexandria via LeMat-Bulk | GGA-PBE | relaxed" space_group="No. 160" dos_at_fermi_per_ev_cell=5.8 total_energy_ev_per_cell=-43.13 delta_e_f_ev_per_atom=-0.30 magmom_total_mub_per_cell=0.0 pbc="T T T"
Sr 0.000 0.000 0.000
Sr 0.000 0.000 3.544
Sr 0.000 0.000 17.727
Ho 0.000 0.000 14.173
Al 0.000 -1.658 6.437
Al -1.436 0.829 6.437
Al -1.426 -0.823 11.289
Al 0.000 0.000 8.866
Al 1.436 0.829 6.437
Al 1.426 -0.823 11.289
Al 0.000 1.647 11.289
Al 0.000 0.000 23.048



No. 6
18
Lattice="2.192 -10.040 0.000 2.192 10.040 0.000 0.000 0.000 13.850" Properties=species:S:1:pos:R:3 comment="Sr2HoAlTe5 | Alexandria via LeMat-Bulk | GGA-PBE | relaxed" space_group="No. 36" total_energy_ev_per_cell=-77.90 magmom_total_mub_per_cell=0.0 raw_formation_energy_ev_per_atom=-1.284 pbc="T T T"
Sr 2.192 7.626 6.925
Sr 2.192 7.575 1.962
Sr 2.192 -7.575 8.887
Sr 2.192 -7.626 0.000
Ho 2.192 5.911 11.688
Ho 2.192 -5.911 4.763
Al 2.192 1.265 3.440
Al 2.192 -1.265 10.365
Te 2.192 9.115 11.906
Te 2.192 4.144 6.853
Te 2.192 3.784 2.546
Te 2.192 2.915 11.395
Te 2.192 0.006 1.180
Te 2.192 -0.006 8.105
Te 2.192 -2.915 4.469
Te 2.192 -3.784 9.471
Te 2.192 -4.144 13.778
Te 2.192 -9.115 4.981



No. 7
9
Lattice="7.163 0.000 0.000 -3.581 6.203 0.000 0.000 0.000 4.467" Properties=species:S:1:pos:R:3 comment="HoTaAl | Alexandria via LeMat-Bulk | GGA-PBE | relaxed" space_group="No. 189" dos_at_fermi_per_ev_cell=6.6 total_energy_ev_per_cell=-61.35 delta_e_f_ev_per_atom=-0.09 magmom_total_mub_per_cell=0.0 pbc="T T T"
Ho -2.081 3.605 0.000
Ho 1.500 2.598 0.000
Ho 4.163 0.000 0.000
Ta -0.789 1.367 2.233
Ta 1.579 0.000 2.233
Ta 2.792 4.836 2.233
Al 0.000 0.000 0.000
Al 0.000 4.135 2.233
Al 3.581 2.068 2.233



No. 8
106
Lattice="11.113 0.000 0.000 -5.557 9.624 0.000 0.000 0.000 17.773" Properties=species:S:1:pos:R:3 comment="Ho6Ta4Al43 | Alexandria via LeMat-Bulk | GGA-PBE | relaxed" space_group="No. 193" dos_at_fermi_per_ev_cell=32.5 total_energy_ev_per_cell=-504.21 delta_e_f_ev_per_atom=-0.31 magmom_total_mub_per_cell=0.0 pbc="T T T"
Ho -2.612 4.524 1.716
Ho -2.612 4.524 7.171
Ho -2.945 5.100 10.602
Ho -2.945 5.100 16.057
Ho 5.224 0.000 1.716
Ho 5.224 0.000 7.171
Ho 2.612 4.524 10.602
Ho 2.612 4.524 16.057
Ho 5.889 0.000 10.602
Ho 5.889 0.000 16.057
Ho 2.945 5.100 1.716
Ho 2.945 5.100 7.171
Ta 0.000 0.000 0.000
Ta 0.000 0.000 8.886
Ta -1.521 2.635 4.443
Ta -4.035 6.990 13.330
Ta 3.042 0.000 4.443
Ta 1.521 2.635 13.330
Ta 8.071 0.000 13.330
Ta 4.035 6.990 4.443
Al -0.824 1.428 13.330
Al -0.883 1.530 2.047
Al -0.883 1.530 6.839
Al -1.424 2.466 9.404
Al -1.424 2.466 17.255
Al -4.133 7.159 0.517
Al -4.133 7.159 8.369
Al -4.673 8.094 10.934
Al -4.673 8.094 15.726
Al -4.732 8.197 4.443
Al 1.648 0.000 13.330
Al 0.824 1.428 4.443
Al -1.424 5.344 4.443
Al -1.641 5.719 13.330
Al -0.437 3.805 11.776
Al -0.437 3.805 14.884
Al -2.479 7.343 2.889
Al -2.479 7.343 5.997
Al 1.767 0.000 2.047
Al 1.767 0.000 6.839
Al 0.883 1.530 10.934
Al 0.883 1.530 15.726
Al 0.437 3.805 2.889
Al 0.437 3.805 5.997
Al -2.043 8.100 11.776
Al -2.043 8.100 14.884
Al 0.000 4.753 0.000
Al 0.000 4.753 8.886
Al -1.440 7.248 0.000
Al -1.440 7.248 8.886
Al 2.847 0.000 9.404
Al 2.847 0.000 17.255
Al 1.424 2.466 0.517
Al 1.424 2.466 8.369
Al 0.000 6.416 2.219
Al 0.000 6.416 6.667
Al 0.000 6.416 11.105
Al 0.000 6.416 15.554
Al 3.514 1.524 11.776
Al 3.514 1.524 14.884
Al 3.077 2.281 2.889
Al 3.077 2.281 5.997
Al 1.424 5.344 13.330
Al -0.217 8.186 4.443
Al 1.641 5.719 4.443
Al 0.217 8.186 13.330
Al 4.116 2.376 0.000
Al 4.116 2.376 8.886
Al 1.440 7.248 0.000
Al 1.440 7.248 8.886
Al 5.340 1.439 4.443
Al 3.916 3.905 13.330
Al 5.773 1.439 13.330
Al 4.133 4.280 4.443
Al 2.479 7.343 11.776
Al 2.479 7.343 14.884
Al 2.043 8.100 2.889
Al 2.043 8.100 5.997
Al 5.557 3.208 2.219
Al 5.557 3.208 6.667
Al 5.557 3.208 11.105
Al 5.557 3.208 15.554
Al 8.266 0.000 0.517
Al 8.266 0.000 8.369
Al 4.133 7.159 9.404
Al 4.133 7.159 17.255
Al 6.997 2.376 0.000
Al 6.997 2.376 8.886
Al 5.557 4.871 0.000
Al 5.557 4.871 8.886
Al 7.599 1.524 2.889
Al 7.599 1.524 5.997
Al 5.120 5.819 11.776
Al 5.120 5.819 14.884
Al 9.346 0.000 10.934
Al 9.346 0.000 15.726
Al 4.673 8.094 2.047
Al 4.673 8.094 6.839
Al 8.036 2.281 11.776
Al 8.036 2.281 14.884
Al 5.994 5.819 2.889
Al 5.994 5.819 5.997
Al 7.197 3.905 4.443
Al 6.980 4.280 13.330
Al 9.465 0.000 4.443
Al 4.732 8.197 13.330



Number 1: calculated density 5.3 g/cm3. Number 2: calculated density 5.6 g/cm3. Number 3: calculated density 5.8 g/cm3. Number 4: calculated density 5.3 g/cm3. Number 5: calculated density 3.9 g/cm3. Number 6: calculated density 5.5 g/cm3. Number 7: calculated density 9.4 g/cm3. Number 8: calculated density 5.0 g/cm3.